Ba2GdSbO6: optimized geometry, PBE-GGA.

Lattice parameters (Å, degrees): 6.622 6.622 6.622 60.00 60.00 60.00
Fractional coordinates of all 10 atoms:
O  0.500  0.000  0.500
Ba  0.750  0.750  0.750
Sb  0.000  0.000  0.000
O  0.000  0.500  0.000
O  0.500  0.000  0.000
O  0.000  0.000  0.500
O  0.000  0.500  0.500
O  0.500  0.500  0.000
Ba  0.250  0.250  0.250
Gd  0.500  0.500  0.500

- ΔE_f (raw): -0.64 eV/atom
- Space group: No. 225
- Crystal system: cubic
- Uncorrected energy: -58.2 eV/cell


Ce2PmNdBi4: optimized geometry, PBE-GGA.

Lattice parameters (Å, degrees): 4.596 7.962 7.964 70.54 90.00 90.00
Fractional coordinates of all 8 atoms:
Pm  0.000  0.500  0.500
Bi  0.500  0.751  0.251
Ce  0.000  0.000  0.000
Bi  0.000  0.752  0.748
Ce  0.500  0.000  0.500
Bi  0.500  0.249  0.749
Nd  0.500  0.500  0.000
Bi  0.000  0.248  0.252

- Space group: No. 10
- Crystal system: monoclinic
- Energy of formation: -0.872 eV/atom
- Uncorrected energy: -43.9 eV/cell


TePF2: optimized geometry, PBE-GGA.

Lattice parameters (Å, degrees): 3.946 3.946 8.593 76.73 76.73 90.00
Fractional coordinates of all 8 atoms:
F  0.631  0.125  0.250
Te  0.000  0.000  0.000
P  0.250  0.750  0.500
F  0.875  0.881  0.750
Te  0.750  0.250  0.500
F  0.375  0.369  0.750
F  0.119  0.625  0.250
P  0.500  0.500  0.000

- Energy relative to the lowest polymorph listed for this composition: 282 meV per atom
- ΔE_f (raw): -0.67 eV/atom
- Space group: No. 122
- Crystal system: tetragonal
- Uncorrected energy: -30.0 eV/cell


Nb2TcSe: optimized geometry, PBE-GGA.

Lattice parameters (Å, degrees): 3.928 3.928 9.735 78.36 78.36 90.00
Fractional coordinates of all 8 atoms:
Se  0.500  0.500  0.000
Nb  0.875  0.866  0.750
Tc  0.000  0.000  0.000
Nb  0.134  0.625  0.250
Se  0.250  0.750  0.500
Nb  0.375  0.384  0.750
Tc  0.750  0.250  0.500
Nb  0.616  0.125  0.250

- ΔE_f (raw): 0.42 eV/atom
- Space group: No. 122
- Crystal system: tetragonal
- Uncorrected energy: -64.6 eV/cell


PSe: optimized geometry, PBE-GGA.

Lattice parameters (Å, degrees): 4.275 4.275 3.530 90.00 90.00 131.17
Fractional coordinates of all 2 atoms:
Se  0.500  0.500  0.500
P  0.000  0.000  0.000

- Energy relative to the lowest polymorph listed for this composition: 614 meV per atom
- ΔE_f (raw): 0.53 eV/atom
- Space group: No. 65
- Crystal system: orthorhombic
- Uncorrected energy: -7.8 eV/cell


Ca4Pt: optimized geometry, PBE-GGA.

Lattice parameters (Å, degrees): 8.244 8.244 8.244 60.00 60.00 60.00
Fractional coordinates of all 10 atoms:
Ca  0.383  0.850  0.383
Ca  0.400  0.867  0.867
Pt  0.000  0.000  0.000
Ca  0.383  0.383  0.850
Pt  0.250  0.250  0.250
Ca  0.383  0.383  0.383
Ca  0.867  0.867  0.867
Ca  0.867  0.867  0.400
Ca  0.850  0.383  0.383
Ca  0.867  0.400  0.867

- Energy relative to the lowest polymorph listed for this composition: 313 meV per atom
- Space group: No. 227
- Crystal system: cubic
- Energy of formation: -0.160 eV/atom
- Uncorrected energy: -29.7 eV/cell


Dy4YEr5: optimized geometry, PBE-GGA.

Lattice parameters (Å, degrees): 6.235 7.832 7.832 80.88 66.54 66.54
Fractional coordinates of all 10 atoms:
Er  0.183  0.913  0.621
Dy  0.501  0.602  0.299
Dy  0.800  0.701  0.602
Dy  0.402  0.398  0.701
Er  0.684  0.000  0.000
Er  0.095  0.621  0.087
Y  0.223  0.000  0.000
Er  0.804  0.379  0.913
Dy  0.103  0.299  0.398
Er  0.716  0.087  0.379

- Energy relative to the lowest polymorph listed for this composition: 253 meV per atom
- Space group: No. 79
- Crystal system: tetragonal
- Energy of formation: 0.312 eV/atom
- Uncorrected energy: -44.6 eV/cell


HfCdPb: optimized geometry, PBE-GGA.

Lattice parameters (Å, degrees): 3.254 3.254 7.295 102.89 102.89 90.00
Fractional coordinates of all 3 atoms:
Pb  0.994  0.994  0.987
Hf  0.328  0.328  0.655
Cd  0.679  0.679  0.357

- Energy relative to the lowest polymorph listed for this composition: 22 meV per atom
- Space group: No. 107
- Crystal system: tetragonal
- Energy of formation: 0.127 eV/atom
- Uncorrected energy: -14.2 eV/cell